Computed, not measured: crystalline LaCrCl2 at its relaxed geometry at the GGA-PBE level of DFT.

Results
Electronic total energy (eV/atom): -5.265
Magnetic moment (Bohr magnetons per cell): 9.25
Calculated density (Mg/m³): 4.6

Unit cell a=3.657 b=4.666 c=11.097 alpha=90.00 beta=90.00 gamma=90.00
Space group Imm2 (No. 44)
Asymmetric unit:
La 0.000 0.000 0.000
Cr 0.000 0.500 0.254
Cl 0.000 0.000 0.518
Cl 0.000 0.500 0.740